1.
Below is a geometry-optimized NdScAsSe structure, with properties calculated at the PBE-GGA level.

It has space group R3m (No. 160, hexagonal axes), with a = 4.0595 Å, b = 4.0595 Å, c = 20.0871 Å, α = 90.00°, β = 90.00° and γ = 120.00°. Symmetry generates all atoms from Nd at (0.0000, 0.0000, 0.0000), Sc at (0.0000, 0.0000, 0.5083), As at (0.0000, 0.0000, 0.2452) and Se at (0.0000, 0.0000, 0.7621).

Its final energy is -6.420 eV per atom. The value obtained for the uncorrected formation energy is -1.61 eV/atom.

***

2.
Below is a geometry-optimized Er5TlCu structure, with properties calculated at the PBE-GGA level.

It has space group C2/c (No. 15), with a = 11.085 Å, b = 6.575 Å, c = 11.261 Å, α = 90.00°, β = 107.04° and γ = 90.00°. Symmetry generates all atoms from Er at (0.000, 0.032, 0.250), Er at (0.131, 0.349, 0.052), Er at (0.229, 0.161, 0.640), Tl at (0.000, 0.449, 0.750) and Cu at (0.000, 0.000, 0.000).

Its final energy is -4.183 eV per atom. As for the formation energy: -1 meV/atom.

***

3.
Below is a geometry-optimized RbSiSb3 structure, with properties calculated at the PBE-GGA level.

It has space group Pm-3m (No. 221), with a = 5.908 Å, b = 5.908 Å, c = 5.908 Å, α = 90.00°, β = 90.00° and γ = 90.00°. Symmetry generates all atoms from Rb at (0.000, 0.000, 0.000), Si at (0.500, 0.500, 0.500) and Sb at (0.000, 0.000, 0.500).

Its final energy is -1.933 eV per atom. The value obtained for the energy relative to the lowest polymorph listed for this composition is 738 kJ/mol of formula units. The value obtained for the uncorrected formation energy is 1.82 eV/atom.